Computed, not measured: a relaxed CuMoIO4 crystal at the PBE with a Hubbard U level of DFT.

Properties
Total energy = -38.91 eV per formula unit
Space group = C2/m
N(E_F) = 1.62 states/eV per cell
Total moment = 0.00 μB per atom

Lattice parameters (Å, degrees): 5.897 5.897 8.100 100.39 100.39 68.44
Positions (direct):
Cu 0.245 0.245 0.213
Cu 0.755 0.755 0.787
Mo 0.378 0.378 0.760
Mo 0.622 0.622 0.240
I 0.023 0.023 0.335
I 0.977 0.977 0.665
O 0.063 0.507 0.817
O 0.354 0.354 0.540
O 0.434 0.434 0.152
O 0.493 0.937 0.183
O 0.507 0.063 0.817
O 0.566 0.566 0.848
O 0.646 0.646 0.460
O 0.937 0.493 0.183